! LiPa2Os, relaxed, DFT GGA-PBE; values from VASP
! - space group = Fm-3m, No. 225
&SYSTEM
  ibrav = 0, nat = 4, ntyp = 3
/
ATOMIC_SPECIES
Pa 231.04 Pa.upf
Os 190.23 Os.upf
Li 6.94 Li.upf
CELL_PARAMETERS angstrom
-2.873 3.033 2.510
-4.816 -0.743 0.118
-2.133 -1.509 4.114
ATOMIC_POSITIONS crystal
Pa 0.250 0.250 0.250
Pa 0.750 0.750 0.750
Os 0.000 0.000 0.000
Li 0.500 0.500 0.500



! LiPaOs2, relaxed, DFT GGA-PBE; values from VASP
! - space group = Fm-3m, No. 225
&SYSTEM
  ibrav = 0, nat = 4, ntyp = 3
/
ATOMIC_SPECIES
Pa 231.04 Pa.upf
Os 190.23 Os.upf
Li 6.94 Li.upf
CELL_PARAMETERS angstrom
4.583 0.000 0.000
2.292 3.969 0.000
2.292 1.323 3.742
ATOMIC_POSITIONS crystal
Pa 0.000 0.000 0.000
Os 0.250 0.250 0.250
Os 0.750 0.750 0.750
Li 0.500 0.500 0.500



! LiPa2Os, relaxed, DFT GGA-PBE; values from VASP
! - space group = P4/mmm, No. 123
&SYSTEM
  ibrav = 0, nat = 4, ntyp = 3
/
ATOMIC_SPECIES
Pa 231.04 Pa.upf
Os 190.23 Os.upf
Li 6.94 Li.upf
CELL_PARAMETERS angstrom
-3.489 1.057 -1.018
-1.672 -3.998 1.580
-0.634 1.906 4.152
ATOMIC_POSITIONS crystal
Pa 0.000 0.000 0.500
Pa 0.000 0.500 0.000
Os 0.500 0.500 0.500
Li 0.500 0.000 0.000



! LiPa2Os, relaxed, DFT GGA-PBE; values from VASP
! - space group = R-3m, No. 166
&SYSTEM
  ibrav = 0, nat = 4, ntyp = 3
/
ATOMIC_SPECIES
Pa 231.04 Pa.upf
Os 190.23 Os.upf
Li 6.94 Li.upf
CELL_PARAMETERS angstrom
3.051 0.000 0.000
1.526 2.642 0.000
1.526 0.881 11.036
ATOMIC_POSITIONS crystal
Pa 0.096 0.096 0.713
Pa 0.904 0.904 0.287
Os 0.500 0.500 0.500
Li 0.000 0.000 0.000



It is found that the energy above the lowest structure with this stoichiometry values, taken in the order of the records, are 0.010 0.100 0.000 0.214 eV per atom.
It is found that the DFT formation energy values, taken in the order of the records, are 0.06 0.00 0.05 0.27 eV per atom.